5
Lattice="-3.425 -1.640 4.373 4.208 -3.436 2.007 1.287 2.773 2.048" Properties=species:S:1:pos:R:3 comment="PBE RhI2BrN, optimized geometry" sg="P4/mmm, No. 123" raw_formation_energy_mev_per_atom=520 dos_at_fermi_per_ev_cell=6.47 magmom_total_mub_per_atom=0.000 relative_energy_kj_per_mol_atoms=0.0 pbc="T T T"
I 2.104 -1.718 1.003
I -1.712 -0.820 2.186
Rh 0.000 0.000 0.000
Br 1.035 -1.152 4.214
N 0.643 1.386 1.024

5
Lattice="-2.784 -3.094 -2.827 1.739 -3.568 2.193 -3.720 0.263 3.377" Properties=species:S:1:pos:R:3 comment="PBE RhI2BrN, optimized geometry" sg="P4/mmm, No. 123" raw_formation_energy_mev_per_atom=1353 dos_at_fermi_per_ev_cell=5.61 magmom_total_mub_per_atom=0.410 relative_energy_kj_per_mol_atoms=80.4 pbc="T T T"
I -1.860 0.131 1.689
I -1.392 -1.547 -1.413
Rh -2.383 -3.200 1.372
Br 0.870 -1.784 1.097
N 0.000 0.000 0.000

5
Lattice="-2.776 -5.288 1.492 5.307 -2.147 2.265 -0.852 1.380 3.305" Properties=species:S:1:pos:R:3 comment="PBE RhI2BrN, optimized geometry" sg="P4/mmm, No. 123" raw_formation_energy_mev_per_atom=1668 dos_at_fermi_per_ev_cell=7.94 magmom_total_mub_per_atom=0.380 relative_energy_kj_per_mol_atoms=110.8 pbc="T T T"
I 2.653 -1.073 1.132
I -1.388 -2.644 0.746
Rh 0.839 -3.027 3.531
Br 0.000 0.000 0.000
N -0.426 0.690 1.653

5
Lattice="3.829 0.000 0.000 0.000 3.829 0.000 0.000 0.000 8.136" Properties=species:S:1:pos:R:3 comment="PBE RhIBrN2, optimized geometry" sg="P4/mmm, No. 123" raw_formation_energy_mev_per_atom=2194 dos_at_fermi_per_ev_cell=6.32 magmom_total_mub_per_atom=0.057 relative_energy_kj_per_mol_atoms=92.5 pbc="T T T"
I 0.000 0.000 4.068
Rh 1.915 1.915 4.068
Br 0.000 0.000 0.000
N 0.000 1.915 0.000
N 1.915 0.000 0.000

5
Lattice="-5.662 0.077 0.300 -0.289 -3.307 -4.597 0.074 -3.013 2.163" Properties=species:S:1:pos:R:3 comment="PBE RuI2BrN, optimized geometry" sg="P4/mmm, No. 123" raw_formation_energy_mev_per_atom=465 dos_at_fermi_per_ev_cell=3.94 magmom_total_mub_per_atom=0.000 relative_energy_kj_per_mol_atoms=0.0 pbc="T T T"
I -0.145 -1.653 -2.298
I -2.831 0.039 0.150
Ru 0.000 0.000 0.000
Br -2.939 -3.121 -1.067
N 0.037 -1.507 1.081

5
Lattice="6.178 0.000 0.000 0.000 6.178 0.000 0.000 0.000 3.706" Properties=species:S:1:pos:R:3 comment="PBE RuI2BrN, optimized geometry" sg="P4/mmm, No. 123" raw_formation_energy_mev_per_atom=1841 dos_at_fermi_per_ev_cell=5.70 magmom_total_mub_per_atom=0.608 relative_energy_kj_per_mol_atoms=132.8 pbc="T T T"
I 0.000 3.089 0.000
I 3.089 0.000 0.000
Ru 3.089 3.089 1.853
Br 0.000 0.000 0.000
N 0.000 0.000 1.853